First-principles (GGA-PBE) data for NaHgPt2Rh after structural relaxation, as listed in Alexandria via LeMat-Bulk.

Summary:
Calculated volume in Å³ per atom: 20.43
Calculated formation energy in eV per atom: 1.4404
DOS at the Fermi energy in states/eV/f.u.: 6.83

a b c (Å): 4.623 4.779 4.623
angles (deg): 90.00 90.00 90.00
Atoms (fractional coordinates):
Pt1 0.500 0.000 0.000
Pt2 0.000 0.000 0.500
Na1 0.000 0.000 0.000
Hg1 0.000 0.500 0.000
Rh1 0.500 0.500 0.500